## Yb4Ga21Ni10 (PBE)

Data for a geometry-optimized Yb4Ga21Ni10 structure.

Properties
Energy of formation from the pure elements in meV per atom: -471
Spin magnetization in μB per cell: 0.5

Cell: 10.7161 10.7161 15.2884 Å, 123.81 123.81 22.20°
Fractional positions:
Yb: 0.1199 0.1199 0.3338
Yb: 0.2290 0.2290 0.8241
Yb: 0.7710 0.7710 0.1759
Yb: 0.8801 0.8801 0.6662
Ga: 0.0054 0.0054 0.0911
Ga: 0.0648 0.0648 0.7955
Ga: 0.1171 0.1171 0.5531
Ga: 0.2001 0.2001 0.0034
Ga: 0.2472 0.2472 0.2929
Ga: 0.2964 0.2964 0.4966
Ga: 0.3736 0.3736 0.8040
Ga: 0.3846 0.3846 0.2956
Ga: 0.3977 0.3977 0.9998
Ga: 0.4590 0.4590 0.6311
Ga: 0.5000 0.5000 0.5000
Ga: 0.5410 0.5410 0.3689
Ga: 0.6023 0.6023 0.0002
Ga: 0.6154 0.6154 0.7044
Ga: 0.6264 0.6264 0.1960
Ga: 0.7036 0.7036 0.5034
Ga: 0.7528 0.7528 0.7071
Ga: 0.7999 0.7999 0.9966
Ga: 0.8829 0.8829 0.4469
Ga: 0.9352 0.9352 0.2045
Ga: 0.9946 0.9946 0.9089
Ni: 0.0238 0.0238 0.6059
Ni: 0.1309 0.1309 0.1041
Ni: 0.2495 0.2495 0.6157
Ni: 0.3473 0.3473 0.1102
Ni: 0.4988 0.4988 0.8164
Ni: 0.5012 0.5012 0.1836
Ni: 0.6527 0.6527 0.8898
Ni: 0.7505 0.7505 0.3843
Ni: 0.8691 0.8691 0.8959
Ni: 0.9762 0.9762 0.3941

---

## MgCdMo (PBE)

Data for a geometry-optimized MgCdMo structure.

Properties
Offset from the most stable computed form in eV/atom: 0.061
Energy of formation from the pure elements in meV per atom: 342
Spin magnetization in μB per cell: 0.0

Cell: 2.9476 2.9476 7.4254 Å, 90.00 90.00 120.00°
Fractional positions:
Mg: 0.0000 0.0000 0.0000
Cd: 0.3333 0.6667 0.6457
Mo: 0.6667 0.3333 0.3139

---

## Nd2Tm2In3 (PBE)

Data for a geometry-optimized Nd2Tm2In3 structure.

Properties
Offset from the most stable computed form in eV/atom: 0.034
Energy of formation from the pure elements in meV per atom: -267
Spin magnetization in μB per cell: 0.0

Cell: 3.7656 6.7595 9.1066 Å, 68.39 89.97 73.89°
Fractional positions:
Nd: 0.1123 0.2725 0.4503
Nd: 0.8877 0.7275 0.5497
Tm: 0.3718 0.7564 0.1778
Tm: 0.6282 0.2436 0.8222
In: 0.0000 0.5000 0.0000
In: 0.3190 0.8638 0.7958
In: 0.6810 0.1362 0.2042

---

## Pm2NbVN5 (PBE)

Data for a geometry-optimized Pm2NbVN5 structure.

Properties
Spin magnetization in μB per cell: 0.7
Formation energy (no corrections) in eV per atom: -1.1879

Cell: 6.9094 6.9094 10.3354 Å, 90.00 90.00 152.12°
Fractional positions:
Pm: 0.1097 0.8903 0.5000
Pm: 0.1429 0.8571 0.1098
Pm: 0.8571 0.1429 0.6098
Pm: 0.8903 0.1097 0.0000
Nb: 0.2174 0.7826 0.8230
Nb: 0.7826 0.2174 0.3230
V: 0.4682 0.5318 0.2644
V: 0.5318 0.4682 0.7644
N: 0.0451 0.9549 0.8469
N: 0.2857 0.7143 0.4599
N: 0.3202 0.6798 0.1908
N: 0.3644 0.6356 0.8119
N: 0.4928 0.5072 0.5999
N: 0.5072 0.4928 0.0999
N: 0.6356 0.3644 0.3119
N: 0.6798 0.3202 0.6908
N: 0.7143 0.2857 0.9599
N: 0.9549 0.0451 0.3469

---

## BaSrVCo2 (PBE)

Data for a geometry-optimized BaSrVCo2 structure.

Properties
Energy of formation from the pure elements in meV per atom: 896
Spin magnetization in μB per cell: 0.0

Cell: 4.6864 4.6864 5.4254 Å, 90.00 90.00 90.00°
Fractional positions:
Ba: 0.0000 0.0000 0.0000
Sr: 0.5000 0.5000 0.0000
V: 0.5000 0.5000 0.5000
Co: 0.0000 0.5000 0.5000
Co: 0.5000 0.0000 0.5000

---

## Ca2MgSb2 (PBE)

Data for a geometry-optimized Ca2MgSb2 structure.

Properties
Spin magnetization in μB per cell: 0.0
Formation energy (no corrections) in eV per atom: -0.5249

Cell: 9.2067 9.2067 3.5195 Å, 90.00 90.00 90.00°
Fractional positions:
Ca: 0.1346 0.3654 0.0000
Ca: 0.3654 0.8654 0.0000
Ca: 0.6346 0.1346 0.0000
Ca: 0.8654 0.6346 0.0000
Mg: 0.0000 0.0000 0.0000
Mg: 0.5000 0.5000 0.0000
Sb: 0.1661 0.6661 0.5000
Sb: 0.3339 0.1661 0.5000
Sb: 0.6661 0.8339 0.5000
Sb: 0.8339 0.3339 0.5000

---

## Ce4Si3Rh (PBE)

Data for a geometry-optimized Ce4Si3Rh structure.

Properties
Spin magnetization in μB per cell: 3.6
Formation energy (no corrections) in eV per atom: -0.6765

Cell: 3.9763 4.2613 10.7974 Å, 90.00 90.00 90.00°
Fractional positions:
Ce: 0.0000 0.0000 0.0000
Ce: 0.0000 0.5000 0.4944
Ce: 0.5000 0.0000 0.7082
Ce: 0.5000 0.5000 0.2117
Si: 0.0000 0.5000 0.7843
Si: 0.5000 0.0000 0.4201
Si: 0.5000 0.5000 0.9230
Rh: 0.0000 0.0000 0.2740

---

## PrSm3Th2Se6 (PBE)

Data for a geometry-optimized PrSm3Th2Se6 structure.

Properties
Spin magnetization in μB per cell: 0.0
Formation energy (no corrections) in eV per atom: -1.7184

Cell: 7.2248 7.2248 7.3293 Å, 99.47 99.47 119.78°
Fractional positions:
Pr: 0.0000 0.0000 0.0000
Sm: 0.1624 0.8376 0.5000
Sm: 0.5000 0.5000 0.5000
Sm: 0.8376 0.1624 0.5000
Th: 0.3323 0.6677 0.0000
Th: 0.6677 0.3323 0.0000
Se: 0.0862 0.4227 0.2579
Se: 0.2527 0.2527 0.7474
Se: 0.4227 0.0862 0.2579
Se: 0.5773 0.9138 0.7421
Se: 0.7473 0.7473 0.2526
Se: 0.9138 0.5773 0.7421

---

## Y2MgZn2Rh5 (PBE)

Data for a geometry-optimized Y2MgZn2Rh5 structure.

Properties
Energy of formation from the pure elements in meV per atom: -566
Spin magnetization in μB per cell: 0.0

Cell: 9.6542 9.6542 3.6671 Å, 90.00 90.00 90.00°
Fractional positions:
Y: 0.1740 0.3260 0.0000
Y: 0.3260 0.8260 0.0000
Y: 0.6740 0.1740 0.0000
Y: 0.8260 0.6740 0.0000
Mg: 0.0000 0.0000 0.0000
Mg: 0.5000 0.5000 0.0000
Zn: 0.1241 0.6241 0.0000
Zn: 0.3759 0.1241 0.0000
Zn: 0.6241 0.8759 0.0000
Zn: 0.8759 0.3759 0.0000
Rh: 0.0000 0.5000 0.5000
Rh: 0.0690 0.7967 0.5000
Rh: 0.2033 0.0690 0.5000
Rh: 0.2967 0.5690 0.5000
Rh: 0.4310 0.2967 0.5000
Rh: 0.5000 0.0000 0.5000
Rh: 0.5690 0.7033 0.5000
Rh: 0.7033 0.4310 0.5000
Rh: 0.7967 0.9310 0.5000
Rh: 0.9310 0.2033 0.5000

---

## Pm3ThGe3 (PBE)

Data for a geometry-optimized Pm3ThGe3 structure.

Properties
Energy of formation from the pure elements in meV per atom: -606
Spin magnetization in μB per cell: 0.0

Cell: 6.2706 6.2706 6.2706 Å, 109.45 109.45 109.45°
Fractional positions:
Pm: 0.2018 0.2018 0.5964
Pm: 0.2018 0.5964 0.2018
Pm: 0.5964 0.2018 0.2018
Th: 0.7958 0.7958 0.7958
Ge: 0.2012 0.7023 0.7023
Ge: 0.7023 0.2012 0.7023
Ge: 0.7023 0.7023 0.2012

---

## NbAlCoOs2 (PBE)

Data for a geometry-optimized NbAlCoOs2 structure.

Properties
Energy of formation from the pure elements in meV per atom: 985
Spin magnetization in μB per cell: 1.0

Cell: 4.4238 4.4238 4.1008 Å, 90.00 90.00 90.00°
Fractional positions:
Nb: 0.0000 0.0000 0.0000
Al: 0.5000 0.5000 0.5000
Co: 0.5000 0.5000 0.0000
Os: 0.0000 0.5000 0.5000
Os: 0.5000 0.0000 0.5000

---

## Ac3O (PBE)

Data for a geometry-optimized Ac3O structure.

Properties
Offset from the most stable computed form in eV/atom: 0.000
Spin magnetization in μB per cell: 0.5
Formation energy (no corrections) in eV per atom: -1.1635

Cell: 4.0594 4.0594 9.6529 Å, 90.00 90.00 90.00°
Fractional positions:
Ac: 0.0000 0.0000 0.0000
Ac: 0.0000 0.5000 0.6437
Ac: 0.5000 0.0000 0.3563
O: 0.5000 0.5000 0.5000

---

## Ca2CuP3Pt4 (PBE)

Data for a geometry-optimized Ca2CuP3Pt4 structure.

Properties
Energy of formation from the pure elements in meV per atom: -775
Spin magnetization in μB per cell: 0.0

Cell: 4.2641 4.2641 9.6343 Å, 90.00 90.00 90.00°
Fractional positions:
Ca: 0.0000 0.5000 0.2435
Ca: 0.5000 0.0000 0.7565
Cu: 0.5000 0.5000 0.0000
P: 0.0000 0.0000 0.0000
P: 0.0000 0.5000 0.6304
P: 0.5000 0.0000 0.3696
Pt: 0.0000 0.0000 0.5000
Pt: 0.0000 0.5000 0.8702
Pt: 0.5000 0.0000 0.1298
Pt: 0.5000 0.5000 0.5000

---

## La3Ce2DyS6 (PBE)

Data for a geometry-optimized La3Ce2DyS6 structure.

Properties
Spin magnetization in μB per cell: 1.6
Formation energy (no corrections) in eV per atom: -2.0949

Cell: 7.0413 7.0413 7.0750 Å, 99.58 99.58 120.05°
Fractional positions:
La: 0.0000 0.0000 0.0000
La: 0.3321 0.6679 0.0000
La: 0.6679 0.3321 0.0000
Ce: 0.1663 0.8337 0.5000
Ce: 0.8337 0.1663 0.5000
Dy: 0.5000 0.5000 0.5000
S: 0.0938 0.4213 0.2632
S: 0.2524 0.2524 0.7385
S: 0.4213 0.0938 0.2632
S: 0.5787 0.9062 0.7368
S: 0.7476 0.7476 0.2615
S: 0.9062 0.5787 0.7368

---

## UMn3Al10 (PBE)

Data for a geometry-optimized UMn3Al10 structure.

Properties
Energy of formation from the pure elements in meV per atom: 125
Spin magnetization in μB per cell: 10.2

Cell: 8.8156 8.8156 8.8156 Å, 60.00 60.00 60.00°
Fractional positions:
U: 0.2500 0.2500 0.2500
U: 0.7500 0.7500 0.7500
Mn: 0.2367 0.2367 0.7633
Mn: 0.2367 0.7633 0.2367
Mn: 0.2367 0.7633 0.7633
Mn: 0.7633 0.2367 0.2367
Mn: 0.7633 0.2367 0.7633
Mn: 0.7633 0.7633 0.2367
Al: 0.1076 0.1076 0.1076
Al: 0.1076 0.1076 0.6772
Al: 0.1076 0.6772 0.1076
Al: 0.1730 0.5000 0.5000
Al: 0.1730 0.5000 0.8270
Al: 0.1730 0.8270 0.5000
Al: 0.3228 0.8924 0.8924
Al: 0.5000 0.1730 0.5000
Al: 0.5000 0.1730 0.8270
Al: 0.5000 0.5000 0.1730
Al: 0.5000 0.5000 0.8270
Al: 0.5000 0.8270 0.1730
Al: 0.5000 0.8270 0.5000
Al: 0.6772 0.1076 0.1076
Al: 0.8270 0.1730 0.5000
Al: 0.8270 0.5000 0.1730
Al: 0.8270 0.5000 0.5000
Al: 0.8924 0.3228 0.8924
Al: 0.8924 0.8924 0.3228
Al: 0.8924 0.8924 0.8924

---

## YMo2Pt (PBE)

Data for a geometry-optimized YMo2Pt structure.

Properties
Offset from the most stable computed form in eV/atom: 0.333
Energy of formation from the pure elements in meV per atom: 196
Spin magnetization in μB per cell: 0.0

Cell: 2.8215 2.8215 9.0758 Å, 90.00 90.00 90.00°
Fractional positions:
Y: 0.0000 0.0000 0.0000
Mo: 0.5000 0.5000 0.2791
Mo: 0.5000 0.5000 0.7209
Pt: 0.0000 0.0000 0.5000

---

## CsScSCl2 (PBE)

Data for a geometry-optimized CsScSCl2 structure.

Properties
Offset from the most stable computed form in eV/atom: 1.929
Spin magnetization in μB per cell: 1.0
Formation energy (no corrections) in eV per atom: 0.0404

Cell: 6.0115 6.0115 5.4699 Å, 90.00 90.00 90.00°
Fractional positions:
Cs: 0.0000 0.0000 0.0000
Sc: 0.5000 0.5000 0.5000
S: 0.0000 0.0000 0.5000
Cl: 0.0000 0.5000 0.0000
Cl: 0.5000 0.0000 0.0000

---

## VCuSn2 (PBE)

Data for a geometry-optimized VCuSn2 structure.

Properties
Offset from the most stable computed form in eV/atom: 0.100
Energy of formation from the pure elements in meV per atom: 309
Spin magnetization in μB per cell: 3.3

Cell: 4.7762 4.7762 4.7762 Å, 60.00 60.00 60.00°
Fractional positions:
V: 0.0000 0.0000 0.0000
Cu: 0.5000 0.5000 0.5000
Sn: 0.2500 0.2500 0.2500
Sn: 0.7500 0.7500 0.7500

---

## Cd3In4Hg8 (PBE)

Data for a geometry-optimized Cd3In4Hg8 structure.

Properties
Energy of formation from the pure elements in meV per atom: 27
Spin magnetization in μB per cell: 0.0

Cell: 4.3765 4.3765 20.9591 Å, 90.00 90.00 90.00°
Fractional positions:
Cd: 0.0000 0.0000 0.0000
Cd: 0.0000 0.0000 0.5000
Cd: 0.5000 0.5000 0.0000
In: 0.0000 0.5000 0.1331
In: 0.0000 0.5000 0.6214
In: 0.5000 0.0000 0.3786
In: 0.5000 0.0000 0.8669
Hg: 0.0000 0.0000 0.2559
Hg: 0.0000 0.0000 0.7441
Hg: 0.0000 0.5000 0.4008
Hg: 0.0000 0.5000 0.8836
Hg: 0.5000 0.0000 0.1164
Hg: 0.5000 0.0000 0.5992
Hg: 0.5000 0.5000 0.2598
Hg: 0.5000 0.5000 0.7402

---

## PmMnZn2 (PBE)

Data for a geometry-optimized PmMnZn2 structure.

Properties
Offset from the most stable computed form in eV/atom: 0.013
Energy of formation from the pure elements in meV per atom: -53
Spin magnetization in μB per cell: 3.1

Cell: 3.3029 3.3029 6.9451 Å, 90.00 90.00 90.00°
Fractional positions:
Pm: 0.0000 0.0000 0.0000
Mn: 0.0000 0.0000 0.5000
Zn: 0.5000 0.5000 0.3080
Zn: 0.5000 0.5000 0.6920